Record 1
Ca2HgGeIr after structural relaxation, computed with PBE.

a = 5.574 Å, b = 5.574 Å, c = 4.679 Å
α = 90.00°, β = 90.00°, γ = 90.00°
Space group P4/mmm (No. 123)
One atom of each set of equivalent atoms:
Ca  0.000  0.500  0.000 (multiplicity 2)
Hg  0.000  0.000  0.500 (multiplicity 1)
Ge  0.500  0.500  0.500 (multiplicity 1)
Ir  0.500  0.500  0.000 (multiplicity 1)

formation energy: -0.430 eV per atom
DFT total energy: -19.93 eV per cell
total moment: 0.00 μB/f.u.

Record 2
SmMgIr2 after structural relaxation, computed with PBE.

a = 3.364 Å, b = 3.364 Å, c = 6.498 Å
α = 90.00°, β = 90.00°, γ = 90.00°
Space group P4/mmm (No. 123)
One atom of each set of equivalent atoms:
Sm  0.000  0.000  0.000 (multiplicity 1)
Mg  0.000  0.000  0.500 (multiplicity 1)
Ir  0.500  0.500  0.277 (multiplicity 2)

formation energy: -0.436 eV per atom
E above lowest polymorph: 0 meV/atom
DFT total energy: -25.78 eV per cell
total moment: 0.00 μB/f.u.

Record 3
Mg2Ge3Ir2 after structural relaxation, computed with PBE.

a = 9.524 Å, b = 4.001 Å, c = 6.870 Å
α = 90.00°, β = 112.60°, γ = 90.00°
Space group C2/m (No. 12)
One atom of each set of equivalent atoms:
Mg  0.167  0.000  0.313 (multiplicity 4)
Ge  0.000  0.500  0.500 (multiplicity 2)
Ge  0.126  0.500  0.961 (multiplicity 4)
Ir  0.129  0.000  0.717 (multiplicity 4)

formation energy: -0.383 eV per atom
DFT total energy: -74.89 eV per cell
total moment: 0.00 μB/f.u.

Record 4
HfAlCuRe after structural relaxation, computed with PBE.

a = 6.324 Å, b = 6.324 Å, c = 6.324 Å
α = 90.00°, β = 90.00°, γ = 90.00°
Space group F-43m (No. 216)
One atom of each set of equivalent atoms:
Hf  0.000  0.000  0.000 (multiplicity 4)
Al  0.000  0.000  0.500 (multiplicity 4)
Cu  0.250  0.250  0.250 (multiplicity 4)
Re  0.250  0.250  0.750 (multiplicity 4)

formation energy: -0.157 eV per atom
DFT total energy: -123.47 eV per cell
total moment: 0.00 μB/f.u.

Record 5
Sr2TlZnPd after structural relaxation, computed with PBE.

a = 5.845 Å, b = 5.845 Å, c = 5.225 Å
α = 90.00°, β = 90.00°, γ = 90.00°
Space group P4/mmm (No. 123)
One atom of each set of equivalent atoms:
Sr  0.000  0.500  0.000 (multiplicity 2)
Tl  0.000  0.000  0.500 (multiplicity 1)
Zn  0.500  0.500  0.500 (multiplicity 1)
Pd  0.000  0.000  0.000 (multiplicity 1)

formation energy: -0.201 eV per atom
E above lowest polymorph: 94 meV/atom
DFT total energy: -13.20 eV per cell
total moment: 0.00 μB/f.u.

Record 6
CeHo5Er3 after structural relaxation, computed with PBE.

a = 8.468 Å, b = 8.468 Å, c = 15.559 Å
α = 90.00°, β = 90.00°, γ = 90.00°
Space group I4/mcm (No. 140)
One atom of each set of equivalent atoms:
Ce  0.000  0.500  0.250 (multiplicity 4)
Ho  0.000  0.000  0.000 (multiplicity 4)
Ho  0.196  0.304  0.139 (multiplicity 16)
Er  0.000  0.000  0.250 (multiplicity 4)
Er  0.123  0.377  0.500 (multiplicity 8)

formation energy: 0.297 eV per atom
DFT total energy: -159.36 eV per cell
total moment: 1.16 μB/f.u.

Record 7
TaTlAs2 after structural relaxation, computed with PBE.

a = 3.1547 Å, b = 3.1547 Å, c = 29.2304 Å
α = 90.00°, β = 90.00°, γ = 120.00°
Space group R3m (No. 160, hexagonal axes)
One atom of each set of equivalent atoms:
Ta  0.0000  0.0000  0.0000 (multiplicity 3)
Tl  0.0000  0.0000  0.2443 (multiplicity 3)
As  0.0000  0.0000  0.4745 (multiplicity 3)
As  0.0000  0.0000  0.7328 (multiplicity 3)

formation energy: 0.381 eV per atom
E above lowest polymorph: 522 meV/atom
DFT total energy: -65.98 eV per cell
total moment: 0.00 μB/f.u.

Record 8
CdGaOs3 after structural relaxation, computed with PBE.

a = 4.557 Å, b = 4.557 Å, c = 4.557 Å
α = 90.00°, β = 90.00°, γ = 90.00°
Space group Pm-3m (No. 221)
One atom of each set of equivalent atoms:
Cd  0.000  0.000  0.000 (multiplicity 1)
Ga  0.500  0.500  0.500 (multiplicity 1)
Os  0.000  0.500  0.500 (multiplicity 3)

formation energy: 1.779 eV per atom
E above lowest polymorph: 0 meV/atom
DFT total energy: -28.74 eV per cell
total moment: 2.39 μB/f.u.

Record 9
PuBiSe2O after structural relaxation, computed with PBE.

a = 4.057 Å, b = 4.057 Å, c = 14.780 Å
α = 90.00°, β = 90.00°, γ = 90.00°
Space group P4/nmm (No. 129, origin choice 2)
One atom of each set of equivalent atoms:
Pu  0.250  0.250  0.078 (multiplicity 2)
Bi  0.250  0.250  0.635 (multiplicity 2)
Se  0.250  0.250  0.404 (multiplicity 2)
Se  0.250  0.250  0.821 (multiplicity 2)
O  0.250  0.750  0.000 (multiplicity 2)

DFT total energy: -74.82 eV per cell
total moment: 4.93 μB/f.u.